No. 1
Ce2Ta2O9 at its PBEsol-relaxed geometry, computed with meta-GGA SCAN.

Cell lengths 6.455, 3.823, 15.319 Å; angles 90.00, 113.62, 90.00 degrees
Fractional positions:
Ce (0.201, 0.001, 0.216)
Ce (0.201, 0.499, 0.716)
Ce (0.799, 0.501, 0.284)
Ce (0.799, 0.999, 0.784)
Ta (0.261, 0.501, 0.041)
Ta (0.261, 0.999, 0.541)
Ta (0.739, 0.001, 0.459)
Ta (0.739, 0.499, 0.959)
O (0.012, 0.000, 0.416)
O (0.012, 0.500, 0.916)
O (0.152, 0.501, 0.284)
O (0.152, 0.999, 0.784)
O (0.248, 0.001, 0.060)
O (0.248, 0.499, 0.560)
O (0.428, 0.501, 0.182)
O (0.428, 0.999, 0.682)
O (0.500, 0.000, 0.500)
O (0.500, 0.500, 0.000)
O (0.572, 0.001, 0.318)
O (0.572, 0.499, 0.818)
O (0.752, 0.501, 0.440)
O (0.752, 0.999, 0.940)
O (0.848, 0.001, 0.216)
O (0.848, 0.499, 0.716)
O (0.988, 0.000, 0.584)
O (0.988, 0.500, 0.084)

## Properties
Formation energy from raw total energies in eV per atom: -3.3304


No. 2
Tb2Fe17C3 at its PBEsol-relaxed geometry, computed with meta-GGA SCAN.

Cell lengths 6.371, 6.371, 6.371 Å; angles 83.35, 83.35, 83.35 degrees
Fractional positions:
Tb (0.156, 0.156, 0.156)
Tb (0.844, 0.844, 0.844)
Fe (0.000, 0.500, 0.500)
Fe (0.156, 0.156, 0.646)
Fe (0.156, 0.646, 0.156)
Fe (0.217, 0.500, 0.783)
Fe (0.217, 0.783, 0.500)
Fe (0.354, 0.844, 0.844)
Fe (0.405, 0.405, 0.405)
Fe (0.500, 0.000, 0.500)
Fe (0.500, 0.217, 0.783)
Fe (0.500, 0.500, 0.000)
Fe (0.500, 0.783, 0.217)
Fe (0.595, 0.595, 0.595)
Fe (0.646, 0.156, 0.156)
Fe (0.783, 0.217, 0.500)
Fe (0.783, 0.500, 0.217)
Fe (0.844, 0.354, 0.844)
Fe (0.844, 0.844, 0.354)
C (0.000, 0.000, 0.500)
C (0.000, 0.500, 0.000)
C (0.500, 0.000, 0.000)

## Properties
Calculated formation energy in kJ/mol of atoms: -7.17


No. 3
AlAg3 at its PBEsol-relaxed geometry, computed with meta-GGA SCAN.

Cell lengths 2.867, 4.594, 4.918 Å; angles 90.00, 90.00, 90.00 degrees
Fractional positions:
Al (0.000, 0.000, 0.000)
Ag (0.000, 0.500, 0.669)
Ag (0.500, 0.000, 0.499)
Ag (0.500, 0.500, 0.160)

## Properties
Calculated formation energy in kJ/mol of atoms: -7.51


No. 4
EuIn2 at its PBEsol-relaxed geometry, computed with meta-GGA SCAN.

Cell lengths 4.927, 4.927, 7.575 Å; angles 90.00, 90.00, 120.00 degrees
Fractional positions:
Eu (0.000, 0.000, 0.250)
Eu (0.000, 0.000, 0.750)
In (0.333, 0.667, 0.042)
In (0.333, 0.667, 0.458)
In (0.667, 0.333, 0.542)
In (0.667, 0.333, 0.958)

## Properties
Calculated formation energy in kJ/mol of atoms: -62.93


No. 5
Mg2TaAg at its PBEsol-relaxed geometry, computed with meta-GGA SCAN.

Cell lengths 2.937, 2.937, 29.845 Å; angles 90.00, 90.00, 120.00 degrees
Fractional positions:
Mg (0.000, 0.000, 0.000)
Mg (0.000, 0.000, 0.243)
Mg (0.333, 0.667, 0.667)
Mg (0.333, 0.667, 0.910)
Mg (0.667, 0.333, 0.333)
Mg (0.667, 0.333, 0.576)
Ta (0.000, 0.000, 0.751)
Ta (0.333, 0.667, 0.418)
Ta (0.667, 0.333, 0.085)
Ag (0.000, 0.000, 0.498)
Ag (0.333, 0.667, 0.165)
Ag (0.667, 0.333, 0.831)

## Properties
Offset from the most stable computed form in eV per formula unit: 0.55
Calculated formation energy in kJ/mol of atoms: 18.28


No. 6
CaAlTe2 at its PBEsol-relaxed geometry, computed with meta-GGA SCAN.

Cell lengths 4.181, 4.089, 13.020 Å; angles 90.00, 90.00, 90.00 degrees
Fractional positions:
Ca (0.000, 0.000, 0.000)
Ca (0.000, 0.500, 0.500)
Al (0.500, 0.000, 0.777)
Al (0.500, 0.500, 0.277)
Te (0.000, 0.000, 0.307)
Te (0.000, 0.500, 0.807)
Te (0.500, 0.000, 0.575)
Te (0.500, 0.500, 0.075)

## Properties
Formation energy from raw total energies in eV per atom: -0.9230


No. 7
PI2Br at its PBEsol-relaxed geometry, computed with meta-GGA SCAN.

Cell lengths 7.373, 7.373, 7.373 Å; angles 90.00, 90.00, 90.00 degrees
Fractional positions:
P (0.000, 0.000, 0.000)
P (0.000, 0.500, 0.500)
P (0.500, 0.000, 0.500)
P (0.500, 0.500, 0.000)
I (0.250, 0.250, 0.250)
I (0.250, 0.250, 0.750)
I (0.250, 0.750, 0.250)
I (0.250, 0.750, 0.750)
I (0.750, 0.250, 0.250)
I (0.750, 0.250, 0.750)
I (0.750, 0.750, 0.250)
I (0.750, 0.750, 0.750)
Br (0.000, 0.000, 0.500)
Br (0.000, 0.500, 0.000)
Br (0.500, 0.000, 0.000)
Br (0.500, 0.500, 0.500)

## Properties
Formation energy from raw total energies in eV per atom: 0.8139


No. 8
CdInHg2 at its PBEsol-relaxed geometry, computed with meta-GGA SCAN.

Cell lengths 4.398, 4.398, 9.449 Å; angles 90.00, 90.00, 90.00 degrees
Fractional positions:
Cd (0.000, 0.000, 0.000)
Cd (0.500, 0.500, 0.500)
In (0.000, 0.500, 0.750)
In (0.500, 0.000, 0.250)
Hg (0.000, 0.000, 0.500)
Hg (0.000, 0.500, 0.250)
Hg (0.500, 0.000, 0.750)
Hg (0.500, 0.500, 0.000)

## Properties
Calculated formation energy in kJ/mol of atoms: 2.90


No. 9
CrCo2Ru at its PBEsol-relaxed geometry, computed with meta-GGA SCAN.

Cell lengths 3.570, 3.570, 6.952 Å; angles 90.00, 90.00, 90.00 degrees
Fractional positions:
Cr (0.000, 0.000, 0.000)
Cr (0.500, 0.500, 0.500)
Co (0.000, 0.000, 0.500)
Co (0.000, 0.500, 0.750)
Co (0.500, 0.000, 0.250)
Co (0.500, 0.500, 0.000)
Ru (0.000, 0.500, 0.250)
Ru (0.500, 0.000, 0.750)

## Properties
Offset from the most stable computed form in eV per formula unit: 0.18
Calculated formation energy in kJ/mol of atoms: 13.10


No. 10
TlPbCl2 at its PBEsol-relaxed geometry, computed with meta-GGA SCAN.

Cell lengths 5.437, 5.437, 3.448 Å; angles 90.00, 90.00, 90.00 degrees
Fractional positions:
Tl (0.000, 0.000, 0.000)
Pb (0.500, 0.500, 0.000)
Cl (0.000, 0.500, 0.500)
Cl (0.500, 0.000, 0.500)

## Properties
Offset from the most stable computed form in eV per formula unit: 0.00
Formation energy from raw total energies in eV per atom: -0.7410


No. 11
RbSi2H at its PBEsol-relaxed geometry, computed with meta-GGA SCAN.

Cell lengths 6.904, 6.904, 6.904 Å; angles 90.00, 90.00, 90.00 degrees
Fractional positions:
Rb (0.000, 0.000, 0.000)
Rb (0.000, 0.500, 0.500)
Rb (0.500, 0.000, 0.500)
Rb (0.500, 0.500, 0.000)
Si (0.250, 0.250, 0.250)
Si (0.250, 0.250, 0.750)
Si (0.250, 0.750, 0.250)
Si (0.250, 0.750, 0.750)
Si (0.750, 0.250, 0.250)
Si (0.750, 0.250, 0.750)
Si (0.750, 0.750, 0.250)
Si (0.750, 0.750, 0.750)
H (0.000, 0.000, 0.500)
H (0.000, 0.500, 0.000)
H (0.500, 0.000, 0.000)
H (0.500, 0.500, 0.500)


No. 12
GaH2AuN at its PBEsol-relaxed geometry, computed with meta-GGA SCAN.

Cell lengths 3.284, 3.284, 4.527 Å; angles 90.00, 90.00, 90.00 degrees
Fractional positions:
Ga (0.000, 0.000, 0.000)
H (0.000, 0.500, 0.000)
H (0.500, 0.000, 0.000)
Au (0.500, 0.500, 0.500)
N (0.000, 0.000, 0.500)


Sequential E_tot output: -24.74, -19.71, -25.54, -40.81, -26.78, -23.90, -25.02, -50.00, -21.82, -41.76, -9.40, -19.64 eV per atom
Sequential calculated density output: 7.54, 8.53, 8.99, 7.96, 7.54, 4.81, 6.04, 11.42, 10.15, 7.86, 2.88, 9.62 g/cm³